! ZrCo2B, relaxed, DFT PBE; values from VASP
&SYSTEM
  ibrav = 0, nat = 8, ntyp = 3
/
ATOMIC_SPECIES
B 10.81 B.upf
Co 58.93 Co.upf
Zr 91.22 Zr.upf
ATOMIC_POSITIONS crystal
B 0.500 0.041 0.205
B 0.500 0.959 0.705
Co 0.500 0.360 0.404
Co 0.000 0.076 0.463
Co 0.500 0.640 0.904
Co 0.000 0.924 0.963
Zr 0.000 0.682 0.428
Zr 0.000 0.318 0.928
CELL_PARAMETERS angstrom
-2.195 1.427 -1.883
0.847 -4.810 -4.634
-3.219 -2.417 1.921
! Spin magnetization in Bohr magnetons per cell: 1.3
! Final energy in eV/atom: -7.62
! SG: Pmc2_1 (26)



! Nd3Ni7Pt2, relaxed, DFT PBE; values from VASP
&SYSTEM
  ibrav = 0, nat = 12, ntyp = 3
/
ATOMIC_SPECIES
Nd 144.24 Nd.upf
Ni 58.69 Ni.upf
Pt 195.08 Pt.upf
ATOMIC_POSITIONS crystal
Nd 0.000 0.000 0.000
Nd 0.139 0.139 0.139
Nd 0.861 0.861 0.861
Ni 0.585 0.585 0.086
Ni 0.914 0.415 0.415
Ni 0.415 0.914 0.415
Ni 0.500 0.500 0.500
Ni 0.585 0.086 0.585
Ni 0.086 0.585 0.585
Ni 0.415 0.415 0.914
Pt 0.332 0.332 0.332
Pt 0.668 0.668 0.668
CELL_PARAMETERS angstrom
-6.482 2.880 5.422
-5.415 -1.968 6.820
-2.382 1.896 8.393
! Spin magnetization in Bohr magnetons per cell: 0.8
! Formation energy from the elements in meV/atom: -446
! SG: R-3m (166)



! Te2Pd2AuF2, relaxed, DFT PBE; values from VASP
&SYSTEM
  ibrav = 0, nat = 7, ntyp = 4
/
ATOMIC_SPECIES
Au 196.97 Au.upf
F 19.00 F.upf
Pd 106.42 Pd.upf
Te 127.60 Te.upf
ATOMIC_POSITIONS crystal
Au 0.500 0.500 0.500
F 0.000 0.000 0.000
F 0.500 0.500 0.000
Pd 0.500 0.000 0.159
Pd 0.000 0.500 0.841
Te 0.000 0.500 0.275
Te 0.500 0.000 0.725
CELL_PARAMETERS angstrom
3.578 0.000 0.000
0.000 3.578 0.000
0.000 0.000 9.812
! Final energy in eV/atom: -3.84
! SG: P-4m2 (115)



! Sc3GaAu2, relaxed, DFT PBE; values from VASP
&SYSTEM
  ibrav = 0, nat = 6, ntyp = 3
/
ATOMIC_SPECIES
Au 196.97 Au.upf
Ga 69.72 Ga.upf
Sc 44.96 Sc.upf
ATOMIC_POSITIONS crystal
Au 0.000 0.000 0.172
Au 0.000 0.000 0.828
Ga 0.000 0.000 0.500
Sc 0.500 0.500 0.000
Sc 0.500 0.500 0.335
Sc 0.500 0.500 0.665
CELL_PARAMETERS angstrom
3.391 0.000 0.000
0.000 3.391 0.000
0.000 0.000 10.173
! Spin magnetization in Bohr magnetons per cell: 0.0
! Final energy in eV/atom: -5.50
! SG: P4/mmm (123)



! PmAl, relaxed, DFT PBE; values from VASP
&SYSTEM
  ibrav = 0, nat = 4, ntyp = 2
/
ATOMIC_SPECIES
Al 26.98 Al.upf
Pm 145.00 Pm.upf
ATOMIC_POSITIONS crystal
Al 0.333 0.667 0.250
Al 0.667 0.333 0.750
Pm 0.000 0.000 0.000
Pm 0.000 0.000 0.500
CELL_PARAMETERS angstrom
3.536 0.000 0.000
-1.768 3.062 0.000
0.000 0.000 9.998
! Spin magnetization in Bohr magnetons per cell: 0.0
! Final energy in eV/atom: -4.26
! SG: P6_3/mmc (194)



! Th3Si4Pd2, relaxed, DFT PBE; values from VASP
&SYSTEM
  ibrav = 0, nat = 9, ntyp = 3
/
ATOMIC_SPECIES
Pd 106.42 Pd.upf
Si 28.09 Si.upf
Th 232.04 Th.upf
ATOMIC_POSITIONS crystal
Pd 0.612 0.612 0.280
Pd 0.388 0.388 0.720
Si 0.722 0.722 0.054
Si 0.058 0.058 0.393
Si 0.942 0.942 0.607
Si 0.278 0.278 0.946
Th 0.000 0.000 0.000
Th 0.336 0.336 0.330
Th 0.664 0.664 0.670
CELL_PARAMETERS angstrom
5.485 -2.118 0.000
5.485 2.118 0.000
-1.654 0.000 8.135
! Spin magnetization in Bohr magnetons per cell: 0.0
! Final energy in eV/atom: -6.96
! SG: C2/m (12)



Calculated volume, 96.8 193.9 125.6 117.0 108.2 189.1 Å³/cell (same order as the records).